#w
A relaxed structure of La4Ti3O12, computed with PBEsol.

```
data_La4Ti3O12
_chemical_formula_sum 'La12 Ti9 O36'
_cell_length_a 5.5362
_cell_length_b 5.5362
_cell_length_c 25.9229
_cell_angle_alpha 90.00
_cell_angle_beta 90.00
_cell_angle_gamma 120.00
_space_group_name_H-M_alt 'R -3'
_space_group_IT_number 148
_space_group_name_Hall '-R 3'
loop_
_atom_site_label
_atom_site_type_symbol
_atom_site_fract_x
_atom_site_fract_y
_atom_site_fract_z
La1 La 0.0000 0.0000 0.1341
La2 La 0.0000 0.0000 0.2874
Ti1 Ti 0.0000 0.0000 0.0000
Ti2 Ti 0.0000 0.0000 0.4247
O1 O 0.0001 0.4397 0.2919
O2 O 0.0086 0.5730 0.8774
```

Results
DOS(E_F): 0.00 states/eV/f.u.
Crystal system: trigonal

=====

#x
A relaxed structure of La4Ti3O12, computed with PBEsol.

```
data_La4Ti3O12
_chemical_formula_sum 'La4 Ti3 O12'
_cell_length_a 5.494
_cell_length_b 5.630
_cell_length_c 7.855
_cell_angle_alpha 91.54
_cell_angle_beta 90.77
_cell_angle_gamma 90.55
_space_group_name_H-M_alt 'P -1'
_space_group_IT_number 2
_space_group_name_Hall '-P 1'
loop_
_atom_site_label
_atom_site_type_symbol
_atom_site_fract_x
_atom_site_fract_y
_atom_site_fract_z
La1 La 0.011 0.426 0.227
La2 La 0.487 0.957 0.232
Ti1 Ti 0.000 0.000 0.500
Ti2 Ti 0.500 0.500 0.000
Ti3 Ti 0.500 0.500 0.500
O1 O 0.092 0.983 0.729
O2 O 0.214 0.676 0.044
O3 O 0.224 0.713 0.451
O4 O 0.283 0.220 0.452
O5 O 0.324 0.212 0.036
O6 O 0.419 0.488 0.744
```

Results
DOS(E_F): 0.00 states/eV/f.u.
Crystal system: triclinic

=====

Verdict on stability: #w comes out on top.

=====

#w
A relaxed structure of LaOs2Pt, computed with PBEsol.

```
data_LaOs2Pt
_chemical_formula_sum 'La2 Os4 Pt2'
_cell_length_a 4.096
_cell_length_b 4.096
_cell_length_c 8.291
_cell_angle_alpha 90.00
_cell_angle_beta 90.00
_cell_angle_gamma 90.00
_space_group_name_H-M_alt 'I 4/m m m'
_space_group_IT_number 139
_space_group_name_Hall '-I 4 2'
loop_
_atom_site_label
_atom_site_type_symbol
_atom_site_fract_x
_atom_site_fract_y
_atom_site_fract_z
La1 La 0.000 0.000 0.000
Os1 Os 0.000 0.500 0.250
Pt1 Pt 0.000 0.000 0.500
```

Results
DOS(E_F): 4.49 states/eV/f.u.
Crystal system: tetragonal

=====

#x
A relaxed structure of LaOs2Pt, computed with PBEsol.

```
data_LaOs2Pt
_chemical_formula_sum 'La3 Os6 Pt3'
_cell_length_a 2.8266
_cell_length_b 2.8266
_cell_length_c 29.4978
_cell_angle_alpha 90.00
_cell_angle_beta 90.00
_cell_angle_gamma 120.00
_space_group_name_H-M_alt 'R 3 m'
_space_group_IT_number 160
_space_group_name_Hall 'R 3 -2"'
loop_
_atom_site_label
_atom_site_type_symbol
_atom_site_fract_x
_atom_site_fract_y
_atom_site_fract_z
La1 La 0.0000 0.0000 0.0000
Os1 Os 0.0000 0.0000 0.2381
Os2 Os 0.0000 0.0000 0.5029
Pt1 Pt 0.0000 0.0000 0.7592
```

Results
DOS(E_F): 4.11 states/eV/f.u.
Crystal system: trigonal

=====

Verdict on stability: #x comes out on top.